A relaxed structure of Rb2In10Pb, computed with PBE-GGA.

a b c (Å): 11.225 12.755 6.768
angles (deg): 90.00 90.00 90.00
Positions (direct):
Rb 0.098 0.120 0.000
Rb 0.402 0.620 0.000
Rb 0.598 0.380 0.000
Rb 0.902 0.880 0.000
In 0.030 0.246 0.500
In 0.123 0.959 0.500
In 0.193 0.379 0.223
In 0.193 0.379 0.777
In 0.220 0.665 0.500
In 0.280 0.165 0.500
In 0.307 0.879 0.223
In 0.307 0.879 0.777
In 0.377 0.459 0.500
In 0.470 0.746 0.500
In 0.530 0.254 0.500
In 0.623 0.541 0.500
In 0.693 0.121 0.223
In 0.693 0.121 0.777
In 0.720 0.835 0.500
In 0.780 0.335 0.500
In 0.807 0.621 0.223
In 0.807 0.621 0.777
In 0.877 0.041 0.500
In 0.970 0.754 0.500
Pb 0.000 0.500 0.500
Pb 0.500 0.000 0.500

As for the magnetic moment: 0.000 μB per formula unit. The formation energy is 0.046 eV per atom. Its volume is 37.3 A^3/atom. The density comes out at 5.2 Mg/m³.